DFT (PBE) results for a geometry-optimized La6SbRh3 structure.

energy: -6.322 eV per atom
Fermi-level density of states: 13.89 states/eV per cell
volume: 611 Å³/cell
formation energy without anion corrections: -0.748 eV per atom
total magnetic moment: 0.00 μB/cell

Unit cell a=12.0567 b=4.2880 c=12.4092 alpha=90.00 beta=107.86 gamma=90.00
Last column: nearest neighbours and their distance in Å.
Space group P2_1/m (No. 11)
Inequivalent atoms, fractional coordinates:
La 0.0271 0.2500 0.3913  3 Rh 2.85-2.89
La 0.1083 0.2500 0.9463  4 Rh 2.89-3.03
La 0.2136 0.7500 0.2612  3 Rh 2.95-3.04
La 0.2903 0.7500 0.7676  2 Rh 2.80
La 0.3581 0.2500 0.5383  2 Rh 2.97, 3 Sb 3.31-3.32
La 0.4209 0.7500 0.0917  3 Rh 2.86-2.97
Sb 0.4475 0.2500 0.3102  8 La 3.31-3.58
Rh 0.0447 0.2500 0.1639  6 La 2.89-3.03
Rh 0.1791 0.7500 0.4937  5 La 2.85-3.04
Rh 0.3453 0.2500 0.9195  6 La 2.80-2.98

=====

DFT (PBE) results for a geometry-optimized Na3AcAu4 structure.

energy: -3.119 eV per atom
Fermi-level density of states: 6.73 states/eV per cell
volume: 590 Å³/cell
total magnetic moment: 0.00 μB/cell
energy of formation from the pure elements: -0.472 eV per atom

Unit cell a=5.0036 b=5.0036 c=27.2322 alpha=90.00 beta=90.00 gamma=120.00
Last column: nearest neighbours and their distance in Å.
Space group R-3m (No. 166, hexagonal axes)
Inequivalent atoms, fractional coordinates:
Na 0.0000 0.0000 0.0000  8 Au 3.01-3.20
Na 0.0000 0.0000 0.2649  7 Au 2.93-3.23
Ac 0.0000 0.0000 0.5000  8 Au 3.17-3.27
Au 0.0000 0.0000 0.1106  4 Na 3.01-3.11, 3 Ac 3.27, 3 Au 3.33
Au 0.0000 0.0000 0.3835  7 Na 2.93-3.23, 1 Ac 3.17

=====

DFT (PBE) results for a geometry-optimized LiFePt structure.

energy: -5.692 eV per atom
Fermi-level density of states: 2.09 states/eV per cell
volume: 40 Å³/cell
total magnetic moment: 3.01 μB/cell
energy of formation from the pure elements: -0.219 eV per atom

Unit cell a=4.1734 b=4.1734 c=2.6366 alpha=90.00 beta=90.00 gamma=120.00
Last column: nearest neighbours and their distance in Å.
Space group P3m1 (No. 156)
Inequivalent atoms, fractional coordinates:
Li 0.0000 0.0000 0.0000  3 Fe 2.50, 3 Pt 2.58, 2 Li 2.64
Fe 0.3333 0.6667 0.7520  3 Li 2.50, 3 Pt 2.64, 2 Fe 2.64
Pt 0.6667 0.3333 0.3466  3 Li 2.58, 6 Fe 2.64-2.87, 2 Pt 2.64

=====

DFT (PBE) results for a geometry-optimized La2YCl structure.

energy: -4.868 eV per atom
Fermi-level density of states: 4.48 states/eV per cell
volume: 124 Å³/cell
formation energy without anion corrections: -0.326 eV per atom
total magnetic moment: 0.00 μB/cell

Unit cell a=3.5631 b=5.8438 c=5.9370 alpha=90.00 beta=90.00 gamma=90.00
Last column: nearest neighbours and their distance in Å.
Space group Pmmm (No. 47)
Inequivalent atoms, fractional coordinates:
La 0.0000 0.0000 0.0000  4 Cl 3.42, 6 La 3.46-3.56
La 0.5000 0.0000 0.5000  4 Y 3.42, 6 La 3.46-3.56
Y 0.0000 0.5000 0.5000  4 La 3.42, 4 Cl 3.46, 2 Y 3.56
Cl 0.5000 0.5000 0.0000  4 La 3.42, 4 Y 3.46, 2 Cl 3.56

=====

DFT (PBE) results for a geometry-optimized CrCoCu4 structure.

energy: -5.193 eV per atom
Fermi-level density of states: 21.49 states/eV per cell
volume: 303 Å³/cell
total magnetic moment: 19.51 μB/cell
energy of formation from the pure elements: 0.326 eV per atom

Unit cell a=6.7158 b=6.7158 c=6.7158 alpha=90.00 beta=90.00 gamma=90.00
Last column: nearest neighbours and their distance in Å.
Space group F-43m (No. 216)
Inequivalent atoms, fractional coordinates:
Cr 0.0000 0.0000 0.0000  12 Cu 2.78, 4 Co 2.91
Co 0.2500 0.2500 0.2500  12 Cu 2.78, 4 Cr 2.91
Cu 0.1248 0.1248 0.6248  6 Cu 2.37-2.38

=====

DFT (PBE) results for a geometry-optimized In5Hg2Pb12 structure.

energy: -3.069 eV per atom
Fermi-level density of states: 17.14 states/eV per cell
volume: 1155 Å³/cell
total magnetic moment: 0.00 μB/cell
energy of formation from the pure elements: 0.026 eV per atom

Unit cell a=24.5902 b=9.7031 c=4.9321 alpha=90.00 beta=100.94 gamma=90.00
Last column: nearest neighbours and their distance in Å.
Space group C2/m (No. 12)
Inequivalent atoms, fractional coordinates:
In 0.0000 0.0000 0.0000  8 Pb 3.39-3.43, 4 Hg 3.50
In 0.1975 0.0000 0.1974  10 Pb 3.43-3.51, 2 In 3.45-3.48
In 0.2015 0.5000 0.2030  10 Pb 3.41-3.65, 2 In 3.45-3.48
Hg 0.0000 0.2557 0.5000  8 Pb 3.23-3.42, 2 In 3.50
Pb 0.0908 0.5000 0.5944  2 Hg 3.23, 6 Pb 3.42-3.53
Pb 0.0952 0.2564 0.0988  2 Hg 3.34-3.40, 3 In 3.39-3.51, 6 Pb 3.42-3.53
Pb 0.0974 0.0000 0.5980  4 In 3.39-3.47, 2 Hg 3.42, 6 Pb 3.49-3.51
Pb 0.1993 0.2566 0.7001  6 In 3.41-3.51, 6 Pb 3.46-3.53

=====

DFT (PBE) results for a geometry-optimized Na2CaRhF8 structure.

energy: -4.783 eV per atom
Fermi-level density of states: 7.09 states/eV per cell
volume: 182 Å³/cell
formation energy without anion corrections: -2.536 eV per atom
total magnetic moment: 1.01 μB/cell

Unit cell a=4.9891 b=6.9399 c=5.2503 alpha=90.00 beta=91.02 gamma=90.00
Last column: nearest neighbours and their distance in Å.
Space group P2/m (No. 10)
Inequivalent atoms, fractional coordinates:
Na 0.0000 0.2443 0.0000  6 F 2.22-2.43
Ca 0.5000 0.0000 0.5000  6 F 2.15-2.40
Rh 0.5000 0.5000 0.5000  6 F 1.93-1.97
F 0.1930 0.0000 0.2071  1 Ca 2.15, 2 Na 2.22
F 0.2260 0.5000 0.2362  1 Rh 1.93
F 0.3176 0.2892 0.6793  1 Rh 1.97

=====

DFT (PBE) results for a geometry-optimized TmZrGe2O8 structure.

energy: -7.512 eV per atom
Fermi-level density of states: 20.02 states/eV per cell
volume: 306 Å³/cell
formation energy without anion corrections: -2.352 eV per atom
total magnetic moment: 1.95 μB/cell

Unit cell a=6.9155 b=6.9155 c=6.3895 alpha=90.00 beta=90.00 gamma=90.00
Last column: nearest neighbours and their distance in Å.
Space group I-4m2 (No. 119)
Inequivalent atoms, fractional coordinates:
Tm 0.0000 0.0000 0.0000  8 O 2.23-2.42
Zr 0.0000 0.5000 0.7500  8 O 2.17-2.33
Ge 0.0000 0.0000 0.5000  4 O 1.77
Ge 0.0000 0.5000 0.2500  4 O 1.76
O 0.0000 0.1918 0.6832  1 Ge 1.77
O 0.0000 0.3180 0.0568  1 Ge 1.76

=====

DFT (PBE) results for a geometry-optimized Ac6TlHg structure.

energy: -3.612 eV per atom
Fermi-level density of states: 20.45 states/eV per cell
volume: 636 Å³/cell
total magnetic moment: 0.00 μB/cell
energy of formation from the pure elements: -0.197 eV per atom

Unit cell a=5.7057 b=5.7057 c=19.5252 alpha=90.00 beta=90.00 gamma=90.00
Last column: nearest neighbours and their distance in Å.
Space group I4/mmm (No. 139)
Inequivalent atoms, fractional coordinates:
Ac 0.0000 0.0000 0.2494  12 Ac 3.98-4.03
Ac 0.0000 0.5000 0.1075  2 Hg 3.54, 2 Tl 3.54
Tl 0.0000 0.0000 0.0000  8 Ac 3.54
Hg 0.0000 0.0000 0.5000  8 Ac 3.54

=====

DFT (PBE) results for a geometry-optimized SrLiZn2Pt structure.

energy: -2.830 eV per atom
Fermi-level density of states: 2.25 states/eV per cell
volume: 115 Å³/cell
total magnetic moment: 0.00 μB/cell
energy of formation from the pure elements: -0.393 eV per atom

Unit cell a=4.9110 b=4.9110 c=4.7887 alpha=90.00 beta=90.00 gamma=90.00
Last column: nearest neighbours and their distance in Å.
Space group P4/mmm (No. 123)
Inequivalent atoms, fractional coordinates:
Sr 0.0000 0.0000 0.0000  8 Zn 3.43, 4 Li 3.47
Li 0.5000 0.5000 0.0000  2 Pt 2.39
Zn 0.0000 0.5000 0.5000  2 Pt 2.46
Pt 0.5000 0.5000 0.5000  2 Li 2.39, 4 Zn 2.46

=====

DFT (PBE) results for a geometry-optimized SrOsAu structure.

energy: -3.862 eV per atom
Fermi-level density of states: 33.05 states/eV per cell
volume: 335 Å³/cell
total magnetic moment: 8.29 μB/cell
energy of formation from the pure elements: 1.535 eV per atom

Unit cell a=6.9480 b=6.9480 c=6.9480 alpha=90.00 beta=90.00 gamma=90.00
Last column: nearest neighbours and their distance in Å.
Space group F-43m (No. 216)
Inequivalent atoms, fractional coordinates:
Sr 0.0000 0.0000 0.0000  4 Os 3.01, 4 Au 3.01
Os 0.2500 0.2500 0.2500  4 Sr 3.01
Au 0.2500 0.2500 0.7500  4 Sr 3.01

=====

DFT (PBE) results for a geometry-optimized KTl2Zn2 structure.

energy: -1.578 eV per atom
Fermi-level density of states: 5.27 states/eV per cell
volume: 273 Å³/cell
total magnetic moment: 0.00 μB/cell
energy of formation from the pure elements: 0.098 eV per atom

Unit cell a=8.9778 b=8.9778 c=3.3924 alpha=90.00 beta=90.00 gamma=90.00
Last column: nearest neighbours and their distance in Å.
Space group P4/mbm (No. 127)
Inequivalent atoms, fractional coordinates:
K 0.0000 0.0000 0.0000  2 K 3.39, 4 Tl 3.48, 8 Zn 3.80
Tl 0.1384 0.3616 0.0000  6 Zn 3.13, 2 Tl 3.39, 2 K 3.48
Zn 0.1546 0.6546 0.5000  6 Tl 3.13, 2 Zn 3.39

=====

DFT (PBE) results for a geometry-optimized TmCdHgPb structure.

energy: -2.644 eV per atom
Fermi-level density of states: 1.30 states/eV per cell
volume: 99 Å³/cell
total magnetic moment: 0.00 μB/cell
energy of formation from the pure elements: -0.294 eV per atom

Unit cell a=4.3745 b=4.6457 c=4.8917 alpha=90.00 beta=90.00 gamma=90.00
Last column: nearest neighbours and their distance in Å.
Space group Pmmm (No. 47)
Inequivalent atoms, fractional coordinates:
Tm 0.0000 0.0000 0.0000  4 Pb 3.19, 4 Hg 3.28, 4 Cd 3.37
Cd 0.0000 0.5000 0.5000  4 Hg 3.19, 4 Pb 3.28, 4 Tm 3.37
Hg 0.5000 0.0000 0.5000  4 Cd 3.19, 4 Tm 3.28, 4 Pb 3.37
Pb 0.5000 0.5000 0.0000  4 Tm 3.19, 4 Cd 3.28, 4 Hg 3.37

=====

DFT (PBE) results for a geometry-optimized CsReNiTe2 structure.

energy: -4.260 eV per atom
Fermi-level density of states: 3.96 states/eV per cell
volume: 144 Å³/cell
formation energy without anion corrections: 0.813 eV per atom
total magnetic moment: 4.17 μB/cell

Unit cell a=5.4143 b=5.4143 c=4.9268 alpha=90.00 beta=90.00 gamma=90.00
Last column: nearest neighbours and their distance in Å.
Space group P4/mmm (No. 123)
Inequivalent atoms, fractional coordinates:
Cs 0.0000 0.0000 0.0000  8 Te 3.66, 4 Re 3.83
Re 0.5000 0.5000 0.0000  2 Ni 2.46
Ni 0.5000 0.5000 0.5000  2 Re 2.46, 4 Te 2.71
Te 0.0000 0.5000 0.5000  2 Ni 2.71

=====

DFT (PBE) results for a geometry-optimized Na3Ga5Se12 structure.

energy: -3.431 eV per atom
Fermi-level density of states: 148.72 states/eV per cell
volume: 3993 Å³/cell
formation energy without anion corrections: -0.386 eV per atom
total magnetic moment: 0.00 μB/cell

Unit cell a=15.8644 b=15.8644 c=15.8644 alpha=90.00 beta=90.00 gamma=90.00
Last column: nearest neighbours and their distance in Å.
Space group Ia-3d (No. 230)
Inequivalent atoms, fractional coordinates:
Na 0.0000 0.2500 0.1250  8 Se 2.96-3.20
Ga 0.0000 0.0000 0.0000  6 Se 2.61
Ga 0.0000 0.2500 0.3750  4 Se 2.44
Se 0.0341 0.0675 0.6458  2 Ga 2.44-2.61

=====

DFT (PBE) results for a geometry-optimized Rb2OsBr4F2 structure.

energy: -3.978 eV per atom
volume: 553 Å³/cell
formation energy without anion corrections: -1.356 eV per atom
total magnetic moment: 4.00 μB/cell

Unit cell a=12.1231 b=7.7118 c=7.2917 alpha=90.00 beta=125.81 gamma=90.00
Last column: nearest neighbours and their distance in Å.
Space group C2/m (No. 12)
Inequivalent atoms, fractional coordinates:
Rb 0.2446 0.0000 0.2965  1 F 2.95
Os 0.0000 0.5000 0.0000  2 F 1.94
Br 0.0349 0.2670 0.7961  1 Os 2.52
F 0.1926 0.5000 0.2465  1 Os 1.94

=====

DFT (PBE) results for a geometry-optimized BaNiHg2Sb structure.

energy: -2.835 eV per atom
Fermi-level density of states: 3.31 states/eV per cell
volume: 137 Å³/cell
formation energy without anion corrections: -0.349 eV per atom
total magnetic moment: 0.00 μB/cell

Unit cell a=5.1341 b=5.1341 c=5.1874 alpha=90.00 beta=90.00 gamma=90.00
Last column: nearest neighbours and their distance in Å.
Space group P4/mmm (No. 123)
Inequivalent atoms, fractional coordinates:
Ba 0.0000 0.0000 0.0000  4 Sb 3.63, 8 Hg 3.65
Ni 0.5000 0.5000 0.5000  4 Hg 2.57, 2 Sb 2.59
Hg 0.0000 0.5000 0.5000  2 Ni 2.57
Sb 0.5000 0.5000 0.0000  2 Ni 2.59

=====

DFT (PBE) results for a geometry-optimized SnSBrN2 structure.

energy: -3.449 eV per atom
Fermi-level density of states: 3.61 states/eV per cell
volume: 86 Å³/cell
formation energy without anion corrections: 1.841 eV per atom
total magnetic moment: 1.45 μB/cell

Unit cell a=4.1604 b=4.1604 c=4.9843 alpha=90.00 beta=90.00 gamma=90.00
Last column: nearest neighbours and their distance in Å.
Space group P4/mmm (No. 123)
Inequivalent atoms, fractional coordinates:
Sn 0.0000 0.0000 0.0000  4 S 2.94, 8 N 3.25
S 0.5000 0.5000 0.0000  2 Br 2.49
Br 0.5000 0.5000 0.5000  4 N 2.08
N 0.0000 0.5000 0.5000  2 Br 2.08

=====

DFT (PBE) results for a geometry-optimized TaCd2MoN structure.

energy: -5.917 eV per atom
Fermi-level density of states: 4.08 states/eV per cell
volume: 85 Å³/cell
formation energy without anion corrections: 0.651 eV per atom
total magnetic moment: 0.65 μB/cell

Unit cell a=4.5527 b=4.5527 c=4.1064 alpha=90.00 beta=90.00 gamma=90.00
Last column: nearest neighbours and their distance in Å.
Space group P4/mmm (No. 123)
Inequivalent atoms, fractional coordinates:
Ta 0.0000 0.0000 0.0000  2 N 2.05
Cd 0.0000 0.5000 0.5000  2 N 2.28
Mo 0.5000 0.5000 0.0000  8 Cd 3.07, 4 Ta 3.22
N 0.0000 0.0000 0.5000  2 Ta 2.05, 4 Cd 2.28

=====

DFT (PBE) results for a geometry-optimized CeThBiN2 structure.

energy: -8.174 eV per atom
Fermi-level density of states: 4.64 states/eV per cell
volume: 228 Å³/cell
formation energy without anion corrections: -1.397 eV per atom
total magnetic moment: 0.00 μB/cell

Unit cell a=4.0337 b=4.0337 c=14.0095 alpha=90.00 beta=90.00 gamma=90.00
Last column: nearest neighbours and their distance in Å.
Space group I4mm (No. 107)
Inequivalent atoms, fractional coordinates:
Ce 0.0000 0.0000 0.0000  4 N 2.29
Th 0.0000 0.0000 0.3391  4 N 2.33
Bi 0.0000 0.0000 0.6675  4 Ce 3.69, 4 Th 3.73, 8 N 3.99-4.10, 4 Bi 4.03
N 0.0000 0.5000 0.4220  2 Ce 2.29, 2 Th 2.33